A plane-wave DFT calculation with meta-GGA SCAN was carried out for a PBEsol-optimized structure of LaAgMo2.

Values from the calculation:
The space group is No. 35. As for the magnetization: 0.00 μB/f.u. As for the energy of formation from the pure elements: 0.415 eV/atom. Its crystal system is orthorhombic.

Geometry as extended XYZ:
```
4
Lattice="1.614 -2.433 0.000 1.614 2.433 0.000 0.000 0.000 9.622" Properties=species:S:1:pos:R:3 pbc="T T T"
La 0.000 0.000 0.000
Ag 1.614 0.000 2.780
Mo 0.000 0.000 5.082
Mo 1.614 0.000 6.983
```



A plane-wave DFT calculation with meta-GGA SCAN was carried out for a PBEsol-optimized structure of LaAgMo2.

Values from the calculation:
The space group is No. 123. As for the magnetization: 0.00 μB/f.u. As for the energy of formation from the pure elements: 0.733 eV/atom. Its crystal system is tetragonal.

Geometry as extended XYZ:
```
4
Lattice="2.745 0.000 0.000 0.000 2.745 0.000 0.000 0.000 9.729" Properties=species:S:1:pos:R:3 pbc="T T T"
La 0.000 0.000 0.000
Ag 0.000 0.000 4.864
Mo 1.373 1.373 2.701
Mo 1.373 1.373 7.028
```



What did the first record say?
A plane-wave DFT calculation with meta-GGA SCAN was carried out for a PBEsol-optimized structure of LaAgMo2.

Values from the calculation:
The space group is No. 35. As for the magnetization: 0.00 μB/f.u. As for the energy of formation from the pure elements: 0.415 eV/atom. Its crystal system is orthorhombic.

Geometry as extended XYZ:
```
4
Lattice="1.614 -2.433 0.000 1.614 2.433 0.000 0.000 0.000 9.622" Properties=species:S:1:pos:R:3 pbc="T T T"
La 0.000 0.000 0.000
Ag 1.614 0.000 2.780
Mo 0.000 0.000 5.082
Mo 1.614 0.000 6.983
```